# 1
The following is a DFT calculation (PBE) of Pa3Co2Si4 after structural relaxation.

It has space group C2/m (No. 12), with a = 10.425 Å, b = 4.028 Å, c = 7.847 Å, α = 90.00°, β = 102.03° and γ = 90.00°. The asymmetric unit holds Pa at (0.000, 0.000, 0.000), Pa at (0.166, 0.500, 0.661), Co at (0.108, 0.500, 0.284), Si at (0.056, 0.000, 0.383) and Si at (0.221, 0.500, 0.064).

The uncorrected formation energy comes out at -695.2 meV/atom.

***

# 2
The following is a DFT calculation (PBE) of Pa2Co3Si after structural relaxation.

It has space group Fmmm (No. 69), with a = 6.995 Å, b = 8.920 Å, c = 12.920 Å, α = 90.00°, β = 90.00° and γ = 90.00°. The asymmetric unit holds Pa at (0.242, 0.000, 0.000), Pa at (0.250, 0.250, 0.250), Co at (0.000, 0.000, 0.142), Co at (0.000, 0.226, 0.403) and Si at (0.000, 0.000, 0.320).

The uncorrected formation energy comes out at -425.9 meV/atom.

***

# 3
The following is a DFT calculation (PBE) of Pa2CoSi after structural relaxation.

It has space group P2_1/m (No. 11), with a = 5.783 Å, b = 3.664 Å, c = 7.905 Å, α = 90.00°, β = 110.30° and γ = 90.00°. The asymmetric unit holds Pa at (0.201, 0.250, 0.399), Pa at (0.210, 0.250, 0.948), Co at (0.368, 0.750, 0.218) and Si at (0.349, 0.750, 0.708).

The uncorrected formation energy comes out at -488.8 meV/atom.

***

# 4
The following is a DFT calculation (PBE) of PaTaCo5Si2 after structural relaxation.

It has space group P4/mmm (No. 123), with a = 3.634 Å, b = 3.634 Å, c = 10.504 Å, α = 90.00°, β = 90.00° and γ = 90.00°. The asymmetric unit holds Pa at (0.000, 0.000, 0.000), Ta at (0.000, 0.000, 0.500), Co at (0.000, 0.500, 0.336), Co at (0.500, 0.500, 0.000) and Si at (0.500, 0.500, 0.213).

The uncorrected formation energy comes out at -138.8 meV/atom.

***

# 5
The following is a DFT calculation (PBE) of Th2PaCo7Si2 after structural relaxation.

It has space group C2/m (No. 12), with a = 5.459 Å, b = 5.427 Å, c = 12.780 Å, α = 90.00°, β = 96.25° and γ = 90.00°. The asymmetric unit holds Th at (0.089, 0.000, 0.355), Pa at (0.000, 0.000, 0.000), Co at (0.000, 0.500, 0.000), Co at (0.098, 0.500, 0.421), Co at (0.213, 0.251, 0.853) and Si at (0.062, 0.500, 0.241).

The uncorrected formation energy comes out at -461.2 meV/atom.

***

# 6
The following is a DFT calculation (PBE) of ThPaCo2Si2 after structural relaxation.

It has space group P-3m1 (No. 164), with a = 4.0599 Å, b = 4.0599 Å, c = 7.6707 Å, α = 90.00°, β = 90.00° and γ = 120.00°. The asymmetric unit holds Th at (0.0000, 0.0000, 0.0000), Pa at (0.0000, 0.0000, 0.5000), Co at (0.3333, 0.6667, 0.7235) and Si at (0.3333, 0.6667, 0.2574).

The uncorrected formation energy comes out at -696.8 meV/atom.

***

no.,E (eV/atom),DOS(E_F) (states/eV per cell)
1,-7.850,17.5
2,-8.048,59.4
3,-8.369,10.1
4,-7.664,8.6
5,-7.538,20.1
6,-7.692,7.5